1.
A geometry-optimized FeReOs2 structure, computed with PBE.

```
FeReOs2
1.0
2.706 0.000 0.000
0.000 3.811 0.000
0.000 0.000 5.375
Fe Os Re
1 2 1
direct
0.500 0.500 0.750 Fe
0.000 0.000 0.990 Os
0.000 0.000 0.510 Os
0.500 0.500 0.250 Re
```

Fermi-level density of states in states/eV/cell: 4.11
Total moment in μB/cell: 1.669
ρ in Mg/m³: 18.65
Calculated formation energy in meV/atom: 104
E above lowest polymorph in kJ per mole of atoms: 0.8

2.
A geometry-optimized FeReOs structure, computed with PBE.

```
FeReOs
1.0
-1.049 0.795 2.371
0.198 -2.642 -0.576
5.928 -0.137 2.668
Fe Os Re
1 1 1
direct
0.000 0.000 0.002 Fe
0.667 0.333 0.328 Os
0.333 0.667 0.670 Re
```

Fermi-level density of states in states/eV/cell: 2.60
Total moment in μB/cell: 1.851
ρ in Mg/m³: 17.34
Calculated formation energy in meV/atom: 138
E above lowest polymorph in kJ per mole of atoms: 6.1

3.
A geometry-optimized FeRe2OsRh structure, computed with PBE.

```
FeRe2OsRh
1.0
4.354 0.000 0.000
0.000 4.361 0.000
0.000 0.000 4.354
Re Os Fe Rh
2 1 1 1
direct
0.000 0.000 0.500 Re
0.500 0.000 0.000 Re
0.000 0.500 0.000 Os
0.000 0.000 0.000 Fe
0.500 0.500 0.500 Rh
```

Fermi-level density of states in states/eV/cell: 7.30
Total moment in μB/cell: 0.000
ρ in Mg/m³: 14.49
Calculated formation energy in meV/atom: 1574
E above lowest polymorph in kJ per mole of atoms: 0.0

4.
A geometry-optimized FeRe2OsRh structure, computed with PBE.

```
FeRe2OsRh
1.0
4.655 0.000 0.000
0.000 4.496 0.000
0.000 0.000 4.655
Re Os Fe Rh
2 1 1 1
direct
0.000 0.000 0.500 Re
0.500 0.000 0.000 Re
0.000 0.000 0.000 Os
0.000 0.500 0.000 Fe
0.500 0.500 0.500 Rh
```

Fermi-level density of states in states/eV/cell: 6.44
Total moment in μB/cell: 2.066
ρ in Mg/m³: 12.29
Calculated formation energy in meV/atom: 2008
E above lowest polymorph in kJ per mole of atoms: 41.8

5.
A geometry-optimized Fe2ReSiOs structure, computed with PBE.

```
Fe2ReSiOs
1.0
-0.133 0.121 4.090
-4.197 -1.346 -0.097
1.246 -3.896 0.156
Re Si Os Fe
1 1 1 2
direct
0.000 0.500 0.000 Re
0.000 0.000 0.000 Si
0.500 0.500 0.500 Os
0.000 0.000 0.500 Fe
0.500 0.000 0.000 Fe
```

Fermi-level density of states in states/eV/cell: 6.34
Total moment in μB/cell: 3.159
ρ in Mg/m³: 11.60
Formation energy (no corrections) in meV per atom: 1164

6.
A geometry-optimized TaFeReOs structure, computed with PBE.

```
TaFeReOs
1.0
4.398 0.000 0.000
2.199 3.809 0.000
2.199 1.270 3.591
Re Os Fe Ta
1 1 1 1
direct
0.750 0.750 0.750 Re
0.250 0.250 0.250 Os
0.500 0.500 0.500 Fe
0.000 0.000 0.000 Ta
```

Fermi-level density of states in states/eV/cell: 2.60
Total moment in μB/cell: 3.561
ρ in Mg/m³: 16.93
Calculated formation energy in meV/atom: -6

7.
A geometry-optimized FeReOsW structure, computed with PBE.

```
FeReOsW
1.0
-3.150 -0.118 -3.004
-3.329 -2.771 0.444
-3.973 1.506 0.951
Re Os Fe W
1 1 1 1
direct
0.750 0.750 0.750 Re
0.250 0.250 0.250 Os
0.500 0.500 0.500 Fe
0.000 0.000 0.000 W
```

Fermi-level density of states in states/eV/cell: 3.78
Total moment in μB/cell: 3.408
ρ in Mg/m³: 17.53
Calculated formation energy in meV/atom: 159

8.
A geometry-optimized Fe2OsRh2 structure, computed with PBE.

```
Fe2OsRh2
1.0
-0.452 5.206 -4.832
-0.676 -4.851 -5.163
-2.686 0.050 0.305
Rh Os Fe
4 2 4
direct
0.369 0.869 0.000 Rh
0.869 0.631 0.000 Rh
0.631 0.131 0.000 Rh
0.131 0.369 0.000 Rh
0.000 0.000 0.000 Os
0.500 0.500 0.000 Os
0.169 0.669 0.500 Fe
0.669 0.831 0.500 Fe
0.831 0.331 0.500 Fe
0.331 0.169 0.500 Fe
```

Fermi-level density of states in states/eV/cell: 12.45
Total moment in μB/cell: 9.847
ρ in Mg/m³: 12.31
Calculated formation energy in meV/atom: 340
E above lowest polymorph in kJ per mole of atoms: 0.0

9.
A geometry-optimized Fe4OsRh5 structure, computed with PBE.

```
Fe4OsRh5
1.0
2.700 0.000 0.000
0.000 2.700 0.000
0.000 0.000 18.365
Fe Os Rh
4 1 5
direct
0.000 0.000 0.206 Fe
0.000 0.000 0.402 Fe
0.000 0.000 0.598 Fe
0.000 0.000 0.794 Fe
0.000 0.000 0.000 Os
0.500 0.500 0.103 Rh
0.500 0.500 0.304 Rh
0.500 0.500 0.500 Rh
0.500 0.500 0.696 Rh
0.500 0.500 0.897 Rh
```

Fermi-level density of states in states/eV/cell: 13.95
Total moment in μB/cell: 11.373
ρ in Mg/m³: 11.51
Calculated formation energy in meV/atom: 8

10.
A geometry-optimized Fe2OsRh2 structure, computed with PBE.

```
Fe2OsRh2
1.0
6.926 0.000 0.000
0.000 6.926 0.000
0.000 0.000 2.695
Rh Os Fe
4 2 4
direct
0.179 0.679 0.500 Rh
0.679 0.821 0.500 Rh
0.821 0.321 0.500 Rh
0.321 0.179 0.500 Rh
0.000 0.000 0.000 Os
0.500 0.500 0.000 Os
0.383 0.883 0.000 Fe
0.883 0.617 0.000 Fe
0.617 0.117 0.000 Fe
0.117 0.383 0.000 Fe
```

Fermi-level density of states in states/eV/cell: 23.83
Total moment in μB/cell: 0.000
ρ in Mg/m³: 13.05
Calculated formation energy in meV/atom: 360
E above lowest polymorph in kJ per mole of atoms: 1.9

11.
A geometry-optimized FeOsRh6 structure, computed with PBE.

```
FeOsRh6
1.0
-1.881 -0.607 -3.275
-0.059 -3.754 0.730
-6.663 0.820 3.676
Fe Os Rh
1 1 6
direct
0.000 0.000 0.000 Fe
0.000 0.000 0.500 Os
0.500 0.500 0.000 Rh
0.500 0.500 0.500 Rh
0.500 0.000 0.251 Rh
0.500 0.000 0.749 Rh
0.000 0.500 0.251 Rh
0.000 0.500 0.749 Rh
```

Fermi-level density of states in states/eV/cell: 8.90
Total moment in μB/cell: 3.636
ρ in Mg/m³: 12.80
Calculated formation energy in meV/atom: 0
E above lowest polymorph in kJ per mole of atoms: 0.9

12.
A geometry-optimized FeOs4Rh structure, computed with PBE.

```
FeOs4Rh
1.0
-4.961 -0.599 1.015
-3.285 -0.917 -3.790
-2.157 -4.598 -0.447
Fe Os Rh
1 4 1
direct
0.000 0.000 0.000 Fe
0.874 0.375 0.375 Os
0.375 0.375 0.874 Os
0.375 0.874 0.375 Os
0.375 0.375 0.375 Os
0.750 0.750 0.750 Rh
```

Fermi-level density of states in states/eV/cell: 9.15
Total moment in μB/cell: 4.473
ρ in Mg/m³: 16.29
Calculated formation energy in meV/atom: 765

13.
A geometry-optimized FeOsRh structure, computed with PBE.

```
FeOsRh
1.0
-1.531 -2.609 3.476
0.301 -4.591 -0.245
2.290 3.996 -0.093
Fe Os Rh
1 1 1
direct
0.995 0.995 0.000 Fe
0.338 0.338 0.000 Os
0.666 0.666 0.000 Rh
```

Fermi-level density of states in states/eV/cell: 3.27
Total moment in μB/cell: 1.657
ρ in Mg/m³: 14.50
Calculated formation energy in meV/atom: 81
E above lowest polymorph in kJ per mole of atoms: 0.0

14.
A geometry-optimized FeOsRh structure, computed with PBE.

```
FeOsRh
1.0
-0.294 1.502 2.286
5.602 -5.567 4.380
5.017 3.663 -1.761
Fe Os Rh
4 4 4
direct
0.750 0.211 0.369 Fe
0.750 0.289 0.869 Fe
0.250 0.711 0.131 Fe
0.250 0.789 0.631 Fe
0.250 0.073 0.646 Os
0.250 0.427 0.146 Os
0.750 0.573 0.854 Os
0.750 0.927 0.354 Os
0.250 0.388 0.577 Rh
0.250 0.112 0.077 Rh
0.750 0.888 0.923 Rh
0.750 0.612 0.423 Rh
```

Fermi-level density of states in states/eV/cell: 13.39
Total moment in μB/cell: 8.020
ρ in Mg/m³: 14.45
Calculated formation energy in meV/atom: 132
E above lowest polymorph in kJ per mole of atoms: 4.9

15.
A geometry-optimized FeOsRh structure, computed with PBE.

```
FeOsRh
1.0
2.688 0.000 0.000
-1.344 2.328 0.000
0.000 0.000 6.470
Fe Os Rh
1 1 1
direct
0.000 0.000 0.004 Fe
0.667 0.333 0.322 Os
0.333 0.667 0.675 Rh
```

Fermi-level density of states in states/eV/cell: 3.37
Total moment in μB/cell: 2.151
ρ in Mg/m³: 14.32
Calculated formation energy in meV/atom: 90
E above lowest polymorph in kJ per mole of atoms: 0.9

16.
A geometry-optimized FeOsRh structure, computed with PBE.

```
FeOsRh
1.0
5.863 -0.001 0.001
5.244 2.621 0.014
0.618 0.132 2.618
Fe Os Rh
1 1 1
direct
0.997 0.997 0.003 Fe
0.339 0.339 0.661 Os
0.664 0.664 0.336 Rh
```

Fermi-level density of states in states/eV/cell: 4.14
Total moment in μB/cell: 2.077
ρ in Mg/m³: 14.41
Calculated formation energy in meV/atom: 94
E above lowest polymorph in kJ per mole of atoms: 1.3

17.
A geometry-optimized FeOsRh structure, computed with PBE.

```
FeOsRh
1.0
-0.382 1.491 3.687
-1.962 -2.069 2.798
2.003 -1.647 3.039
Fe Os Rh
1 1 1
direct
0.750 0.750 0.750 Fe
0.000 0.000 0.000 Os
0.500 0.500 0.500 Rh
```

Fermi-level density of states in states/eV/cell: 3.79
Total moment in μB/cell: 1.909
ρ in Mg/m³: 12.85
Calculated formation energy in meV/atom: 539
E above lowest polymorph in kJ per mole of atoms: 44.2

18.
A geometry-optimized FeOsRh structure, computed with PBE.

```
FeOsRh
1.0
4.209 0.000 0.000
-2.105 3.645 0.000
0.000 0.000 2.629
Fe Os Rh
1 1 1
direct
0.000 0.000 0.833 Fe
0.667 0.333 0.333 Os
0.333 0.667 0.833 Rh
```

Fermi-level density of states in states/eV/cell: 2.30
Total moment in μB/cell: 1.927
ρ in Mg/m³: 14.36
Calculated formation energy in meV/atom: 155
E above lowest polymorph in kJ per mole of atoms: 7.2

19.
A geometry-optimized FeOsRh6 structure, computed with PBE.

```
FeOsRh6
1.0
-2.762 -2.620 0.376
2.940 -3.512 -2.876
2.315 -1.787 4.549
Fe Os Rh
1 1 6
direct
0.500 0.000 0.000 Fe
0.500 0.500 0.500 Os
0.000 0.749 0.251 Rh
0.000 0.251 0.749 Rh
0.000 0.749 0.749 Rh
0.000 0.251 0.251 Rh
0.500 0.500 0.000 Rh
0.500 0.000 0.500 Rh
```

Fermi-level density of states in states/eV/cell: 7.41
Total moment in μB/cell: 3.516
ρ in Mg/m³: 12.81
Calculated formation energy in meV/atom: -9
E above lowest polymorph in kJ per mole of atoms: 0.0

20.
A geometry-optimized Fe3OsRh12 structure, computed with PBE.

```
Fe3OsRh12
1.0
-1.936 -2.972 1.408
3.288 -1.767 0.793
0.137 6.449 13.801
Fe Os Rh
3 1 12
direct
0.000 0.000 0.255 Fe
0.000 0.000 0.500 Fe
0.000 0.000 0.745 Fe
0.000 0.000 0.000 Os
0.500 0.500 0.000 Rh
0.500 0.500 0.250 Rh
0.500 0.500 0.500 Rh
0.500 0.500 0.750 Rh
0.500 0.000 0.125 Rh
0.500 0.000 0.376 Rh
0.500 0.000 0.624 Rh
0.500 0.000 0.875 Rh
0.000 0.500 0.125 Rh
0.000 0.500 0.376 Rh
0.000 0.500 0.624 Rh
0.000 0.500 0.875 Rh
```

Fermi-level density of states in states/eV/cell: 16.03
Total moment in μB/cell: 3.728
ρ in Mg/m³: 11.92
Calculated formation energy in meV/atom: -33